Material: Er2InAu2
Method: DFT, PBE-GGA
State: optimized geometry

Unit cell a=7.8716 b=7.8716 c=3.7529 alpha=90.00 beta=90.00 gamma=90.00
Last column: nearest neighbours and their distance in Å.
Fractional coordinates of all 10 atoms:
Er (0.1685, 0.3315, 0.0000)  6 Au 2.93-3.02
Er (0.3315, 0.8315, 0.0000)  6 Au 2.93-3.02
Er (0.6685, 0.1685, 0.0000)  6 Au 2.93-3.02
Er (0.8315, 0.6685, 0.0000)  6 Au 2.93-3.02
In (0.0000, 0.0000, 0.5000)  4 Au 3.09
In (0.5000, 0.5000, 0.5000)  4 Au 3.09
Au (0.1300, 0.6300, 0.5000)  1 Au 2.89, 6 Er 2.93-3.02, 2 In 3.09
Au (0.3700, 0.1300, 0.5000)  1 Au 2.89, 6 Er 2.93-3.02, 2 In 3.09
Au (0.6300, 0.8700, 0.5000)  1 Au 2.89, 6 Er 2.93-3.02, 2 In 3.09
Au (0.8700, 0.3700, 0.5000)  1 Au 2.89, 6 Er 2.93-3.02, 2 In 3.09

## Properties
**Magnetic moment**: 0.00 μB/cell
**Final energy**: -44.9 eV for the cell shown

=====

Material: Er5In2Ir2Au
Method: DFT, PBE-GGA
State: optimized geometry

Unit cell a=11.6258 b=11.6258 c=3.6175 alpha=90.00 beta=90.00 gamma=90.00
Last column: nearest neighbours and their distance in Å.
Fractional coordinates of all 20 atoms:
Er (0.0000, 0.5000, 0.0000)  4 Ir 2.86
Er (0.0751, 0.2000, 0.0000)  2 Ir 2.73
Er (0.2000, 0.9249, 0.0000)  2 Ir 2.73
Er (0.3000, 0.4249, 0.0000)  2 Ir 2.73
Er (0.4249, 0.7000, 0.0000)  2 Ir 2.73
Er (0.5000, 0.0000, 0.0000)  4 Ir 2.86
Er (0.5751, 0.3000, 0.0000)  2 Ir 2.73
Er (0.7000, 0.5751, 0.0000)  2 Ir 2.73
Er (0.8000, 0.0751, 0.0000)  2 Ir 2.73
Er (0.9249, 0.8000, 0.0000)  2 Ir 2.73
In (0.1728, 0.6728, 0.5000)  1 Ir 3.16, 6 Er 3.37-3.46
In (0.3272, 0.1728, 0.5000)  1 Ir 3.16, 6 Er 3.37-3.46
In (0.6728, 0.8272, 0.5000)  1 Ir 3.16, 6 Er 3.37-3.46
In (0.8272, 0.3272, 0.5000)  1 Ir 3.16, 6 Er 3.37-3.46
Ir (0.1349, 0.3651, 0.5000)  6 Er 2.73-2.86
Ir (0.3651, 0.8651, 0.5000)  6 Er 2.73-2.86
Ir (0.6349, 0.1349, 0.5000)  6 Er 2.73-2.86
Ir (0.8651, 0.6349, 0.5000)  6 Er 2.73-2.86
Au (0.0000, 0.0000, 0.5000)  8 Er 3.07
Au (0.5000, 0.5000, 0.5000)  8 Er 3.07

## Properties
**Magnetic moment**: 0.00 μB/cell
**Final energy**: -112.5 eV for the cell shown

=====

Look up the final energy of the first one. -44.9 eV for the cell shown